<a>
{"formula": "Ba2CrCl6", "functional": "PBE-GGA", "state": "relaxed", "cell": [[6.610, 0.000, 0.000], [0.000, 8.404, 0.000], [-6.392, 0.000, 9.595]], "species": ["Ba", "Ba", "Ba", "Ba", "Cr", "Cr", "Cl", "Cl", "Cl", "Cl", "Cl", "Cl", "Cl", "Cl", "Cl", "Cl", "Cl", "Cl"], "frac_coords": [[0.215, 0.115, 0.263], [0.215, 0.385, 0.763], [0.785, 0.615, 0.237], [0.785, 0.885, 0.737], [0.500, 0.000, 0.000], [0.500, 0.500, 0.500], [0.149, 0.143, 0.957], [0.149, 0.357, 0.457], [0.280, 0.687, 0.942], [0.280, 0.813, 0.442], [0.354, 0.022, 0.760], [0.354, 0.478, 0.260], [0.646, 0.522, 0.740], [0.646, 0.978, 0.240], [0.720, 0.187, 0.558], [0.720, 0.313, 0.058], [0.851, 0.643, 0.543], [0.851, 0.857, 0.043]], "crystal_system": "monoclinic", "total_magnetization_mub_per_fu": 4.00}

---

<b>
{"formula": "Ba2CrCl6", "functional": "PBE-GGA", "state": "relaxed", "cell": [[6.855, 0.000, 0.000], [0.000, 6.855, 0.000], [0.000, 0.000, 13.089]], "species": ["Ba", "Ba", "Ba", "Ba", "Cr", "Cr", "Cl", "Cl", "Cl", "Cl", "Cl", "Cl", "Cl", "Cl", "Cl", "Cl", "Cl", "Cl"], "frac_coords": [[0.000, 0.000, 0.167], [0.000, 0.000, 0.833], [0.500, 0.500, 0.333], [0.500, 0.500, 0.667], [0.000, 0.000, 0.500], [0.500, 0.500, 0.000], [0.176, 0.176, 0.366], [0.176, 0.176, 0.634], [0.214, 0.214, 0.000], [0.286, 0.714, 0.500], [0.324, 0.676, 0.134], [0.324, 0.676, 0.866], [0.676, 0.324, 0.134], [0.676, 0.324, 0.866], [0.714, 0.286, 0.500], [0.786, 0.786, 0.000], [0.824, 0.824, 0.366], [0.824, 0.824, 0.634]], "crystal_system": "tetragonal", "dos_ef_per_ev_fu": 2.32, "total_magnetization_mub_per_fu": 4.00}

---

It is <a> that is the most stable of them.

---

<a>
{"formula": "Ba2Cr2Cl", "functional": "PBE-GGA", "state": "relaxed", "cell": [[9.086, 0.000, 0.000], [0.000, 9.086, 0.000], [0.000, 0.000, 3.996]], "species": ["Ba", "Ba", "Ba", "Ba", "Cr", "Cr", "Cr", "Cr", "Cl", "Cl"], "frac_coords": [[0.205, 0.295, 0.000], [0.295, 0.795, 0.000], [0.705, 0.205, 0.000], [0.795, 0.705, 0.000], [0.068, 0.568, 0.500], [0.432, 0.068, 0.500], [0.568, 0.932, 0.500], [0.932, 0.432, 0.500], [0.000, 0.000, 0.500], [0.500, 0.500, 0.500]], "crystal_system": "tetragonal", "dos_ef_per_ev_fu": 5.09, "total_magnetization_mub_per_fu": 0.00}

---

<b>
{"formula": "Ba2Cr2Cl", "functional": "PBE-GGA", "state": "relaxed", "cell": [[-3.179, 3.179, 4.172], [3.179, -3.179, 4.172], [3.179, 3.179, -4.172]], "species": ["Ba", "Ba", "Cr", "Cr", "Cl"], "frac_coords": [[0.250, 0.750, 0.500], [0.750, 0.250, 0.500], [0.105, 0.105, 0.000], [0.895, 0.895, 0.000], [0.500, 0.500, 0.000]], "crystal_system": "tetragonal", "dos_ef_per_ev_fu": 6.02, "total_magnetization_mub_per_fu": 0.00}

---

It is <a> that is the most stable of them.

---

<a>
{"formula": "BaCrP2Cl", "functional": "PBE-GGA", "state": "relaxed", "cell": [[4.543, 0.000, 0.000], [0.000, 4.543, 0.000], [0.000, 0.000, 5.587]], "species": ["Ba", "Cr", "P", "P", "Cl"], "frac_coords": [[0.000, 0.000, 0.000], [0.500, 0.500, 0.500], [0.000, 0.500, 0.500], [0.500, 0.000, 0.500], [0.500, 0.500, 0.000]], "crystal_system": "tetragonal", "dos_ef_per_ev_fu": 3.08, "total_magnetization_mub_per_fu": 2.19}

---

<b>
{"formula": "BaCrP2Cl", "functional": "PBE-GGA", "state": "relaxed", "cell": [[6.218, 0.000, 0.000], [0.000, 6.218, 0.000], [0.000, 0.000, 5.771]], "species": ["Ba", "Cr", "P", "P", "Cl"], "frac_coords": [[0.000, 0.000, 0.000], [0.500, 0.500, 0.500], [0.000, 0.500, 0.000], [0.500, 0.000, 0.000], [0.000, 0.000, 0.500]], "crystal_system": "tetragonal", "dos_ef_per_ev_fu": 10.01, "total_magnetization_mub_per_fu": 1.01}

---

It is <a> that is the most stable of them.

---

<a>
{"formula": "BaCrS2Cl", "functional": "PBE-GGA", "state": "relaxed", "cell": [[5.952, 0.000, 0.000], [0.000, 5.952, 0.000], [0.000, 0.000, 5.807]], "species": ["Ba", "Cr", "S", "S", "Cl"], "frac_coords": [[0.000, 0.000, 0.000], [0.500, 0.500, 0.500], [0.000, 0.500, 0.000], [0.500, 0.000, 0.000], [0.000, 0.000, 0.500]], "crystal_system": "tetragonal", "dos_ef_per_ev_fu": 7.75, "total_magnetization_mub_per_fu": 2.98}

---

<b>
{"formula": "BaCrS2Cl", "functional": "PBE-GGA", "state": "relaxed", "cell": [[4.804, 0.000, 0.000], [0.000, 4.804, 0.000], [0.000, 0.000, 4.897]], "species": ["Ba", "Cr", "S", "S", "Cl"], "frac_coords": [[0.000, 0.000, 0.000], [0.500, 0.500, 0.500], [0.000, 0.500, 0.500], [0.500, 0.000, 0.500], [0.500, 0.500, 0.000]], "crystal_system": "tetragonal", "dos_ef_per_ev_fu": 3.91, "total_magnetization_mub_per_fu": 3.07}

---

It is <b> that is the most stable of them.